VASP calculation (PBE) on an optimized crystal structure of ZrOs. Values from VASP.

Summary:
* DFT formation energy: -0.232 eV per atom
* E_tot: -20.24 eV/f.u.
* crystal system: monoclinic
* space-group type: C2/m, No. 12

```
&SYSTEM
  ibrav = 0, nat = 8, ntyp = 2
/
ATOMIC_SPECIES
Os 190.23 Os.upf
Zr 91.22 Zr.upf
ATOMIC_POSITIONS angstrom
Os 1.660 0.000 4.150
Os -0.298 0.000 1.796
Os 2.489 4.021 1.172
Os -1.128 4.021 4.775
Zr 0.681 5.686 2.973
Zr 0.681 2.357 2.973
Zr 1.510 1.665 -0.005
Zr 1.510 6.378 -0.005
CELL_PARAMETERS angstrom
3.020 0.000 -0.010
0.000 8.043 0.000
-1.659 0.000 5.957
```

VASP calculation (PBE) on an optimized crystal structure of LaPm2Cd. Values from VASP.

Summary:
* DFT formation energy: 0.087 eV per atom
* energy relative to the lowest polymorph listed for this composition: 0.96 eV/f.u.
* E_tot: -15.00 eV/f.u.
* crystal system: trigonal
* space-group type: R-3m, No. 166

```
&SYSTEM
  ibrav = 0, nat = 4, ntyp = 3
/
ATOMIC_SPECIES
Cd 112.41 Cd.upf
La 138.91 La.upf
Pm 145.00 Pm.upf
ATOMIC_POSITIONS angstrom
Cd -5.617 4.615 0.834
La 0.000 0.000 0.000
Pm -6.512 4.641 4.026
Pm -4.722 4.589 -2.358
CELL_PARAMETERS angstrom
-0.106 2.892 -1.979
-2.351 0.269 -2.586
-8.777 6.069 6.234
```

VASP calculation (PBE) on an optimized crystal structure of ThSi2O6. Values from VASP.

Summary:
* E_tot: -74.43 eV/f.u.
* crystal system: trigonal
* space-group type: R3, No. 146

```
&SYSTEM
  ibrav = 0, nat = 9, ntyp = 3
/
ATOMIC_SPECIES
Th 232.04 Th.upf
Si 28.09 Si.upf
O 16.00 O.upf
ATOMIC_POSITIONS angstrom
Th 2.409 1.391 0.225
Si 7.226 4.172 2.701
Si 4.817 2.781 2.529
O 6.279 2.989 3.616
O 3.906 3.943 3.616
O 4.266 1.411 3.616
O 3.340 3.024 1.568
O 5.346 1.381 1.568
O 5.766 3.939 1.568
CELL_PARAMETERS angstrom
4.817 0.000 0.000
2.409 4.172 0.000
2.409 1.391 5.248
```

VASP calculation (PBE) on an optimized crystal structure of CuPbBr3. Values from VASP.

Summary:
* energy relative to the lowest polymorph listed for this composition: 1.34 eV/f.u.
* E_tot: -14.63 eV/f.u.
* crystal system: cubic
* space-group type: Pm-3m, No. 221

```
&SYSTEM
  ibrav = 0, nat = 5, ntyp = 3
/
ATOMIC_SPECIES
Cu 63.55 Cu.upf
Pb 207.20 Pb.upf
Br 79.90 Br.upf
ATOMIC_POSITIONS angstrom
Cu 0.000 0.000 0.000
Pb -4.300 0.925 -0.501
Br -1.883 -1.727 -0.062
Br -1.389 1.458 1.574
Br -1.028 1.194 -2.013
CELL_PARAMETERS angstrom
-2.056 2.387 -4.025
-3.766 -3.454 -0.125
-2.778 2.916 3.148
```

VASP calculation (PBE) on an optimized crystal structure of CaTcHg. Values from VASP.

Summary:
* DFT formation energy: 0.463 eV per atom
* energy relative to the lowest polymorph listed for this composition: 0.04 eV/f.u.
* E_tot: -11.28 eV/f.u.
* crystal system: hexagonal
* space-group type: P-6m2, No. 187

```
&SYSTEM
  ibrav = 0, nat = 3, ntyp = 3
/
ATOMIC_SPECIES
Ca 40.08 Ca.upf
Hg 200.59 Hg.upf
Tc 98.00 Tc.upf
ATOMIC_POSITIONS angstrom
Ca 0.000 0.000 0.001
Hg 2.479 1.431 1.487
Tc 0.000 2.862 1.490
CELL_PARAMETERS angstrom
4.957 0.000 0.000
-2.479 4.293 0.000
0.000 0.000 2.978
```

VASP calculation (PBE) on an optimized crystal structure of HfScCdAu. Values from VASP.

Summary:
* DFT formation energy: -0.310 eV per atom
* E_tot: -21.72 eV/f.u.
* crystal system: cubic
* space-group type: F-43m, No. 216

```
&SYSTEM
  ibrav = 0, nat = 4, ntyp = 4
/
ATOMIC_SPECIES
Sc 44.96 Sc.upf
Hf 178.49 Hf.upf
Au 196.97 Au.upf
Cd 112.41 Cd.upf
ATOMIC_POSITIONS angstrom
Sc -3.744 4.456 -1.371
Hf 0.000 0.000 0.000
Au -5.617 6.685 -2.057
Cd -1.872 2.228 -0.686
CELL_PARAMETERS angstrom
-0.473 4.848 -0.338
-2.763 1.943 -3.526
-4.252 2.122 1.121
```

VASP calculation (PBE) on an optimized crystal structure of BaGaSnHg2. Values from VASP.

Summary:
* DFT formation energy: -0.387 eV per atom
* energy relative to the lowest polymorph listed for this composition: 0.00 eV/f.u.
* E_tot: -11.49 eV/f.u.
* crystal system: orthorhombic
* space-group type: Imm2, No. 44

```
&SYSTEM
  ibrav = 0, nat = 5, ntyp = 4
/
ATOMIC_SPECIES
Ba 137.33 Ba.upf
Ga 69.72 Ga.upf
Sn 118.71 Sn.upf
Hg 200.59 Hg.upf
ATOMIC_POSITIONS angstrom
Ba 2.983 -2.621 3.503
Ga 2.744 -4.391 0.235
Sn 2.978 -1.582 -0.251
Hg 0.267 -3.249 1.074
Hg 0.327 -0.287 0.384
CELL_PARAMETERS angstrom
-2.248 -4.054 -1.119
3.370 -0.893 -3.538
2.811 -0.489 6.289
```

VASP calculation (PBE) on an optimized crystal structure of PrHoTlRh. Values from VASP.

Summary:
* DFT formation energy: -0.418 eV per atom
* energy relative to the lowest polymorph listed for this composition: 0.56 eV/f.u.
* E_tot: -20.75 eV/f.u.
* crystal system: cubic
* space-group type: F-43m, No. 216

```
&SYSTEM
  ibrav = 0, nat = 4, ntyp = 4
/
ATOMIC_SPECIES
Pr 140.91 Pr.upf
Tl 204.38 Tl.upf
Rh 102.91 Rh.upf
Ho 164.93 Ho.upf
ATOMIC_POSITIONS angstrom
Pr -0.870 -2.346 -1.982
Tl 0.000 0.000 0.000
Rh -1.740 -4.691 -3.965
Ho -2.610 -7.037 -5.947
CELL_PARAMETERS angstrom
-1.734 -1.099 -4.791
1.585 -4.340 -2.413
-3.331 -3.943 -0.725
```

VASP calculation (PBE) on an optimized crystal structure of LaAlSn2Pt. Values from VASP.

Summary:
* DFT formation energy: 0.351 eV per atom
* E_tot: -20.96 eV/f.u.
* crystal system: tetragonal
* space-group type: P4/mmm, No. 123

```
&SYSTEM
  ibrav = 0, nat = 5, ntyp = 4
/
ATOMIC_SPECIES
Al 26.98 Al.upf
Sn 118.71 Sn.upf
Pt 195.08 Pt.upf
La 138.91 La.upf
ATOMIC_POSITIONS angstrom
Al 0.000 0.000 0.000
Sn 1.017 -2.183 -0.688
Sn -1.197 0.134 -2.196
Pt -2.418 -3.449 -1.749
La -2.237 -1.399 1.135
CELL_PARAMETERS angstrom
-2.395 0.268 -4.392
2.034 -4.367 -1.375
-4.475 -2.799 2.269
```

VASP calculation (PBE) on an optimized crystal structure of NdBiBr. Values from VASP.

Summary:
* E_tot: -12.99 eV/f.u.
* crystal system: hexagonal
* space-group type: P-6m2, No. 187

```
&SYSTEM
  ibrav = 0, nat = 3, ntyp = 3
/
ATOMIC_SPECIES
Nd 144.24 Nd.upf
Bi 208.98 Bi.upf
Br 79.90 Br.upf
ATOMIC_POSITIONS angstrom
Nd 0.630 0.000 0.000
Bi 2.519 2.626 1.516
Br 0.630 0.000 3.032
CELL_PARAMETERS angstrom
3.779 0.000 0.000
0.000 5.252 0.000
0.000 -2.626 4.548
```

VASP calculation (PBE) on an optimized crystal structure of NbOsC. Values from VASP.

Summary:
* DFT formation energy: 0.388 eV per atom
* E_tot: -29.36 eV/f.u.
* crystal system: monoclinic
* space-group type: C2/m, No. 12

```
&SYSTEM
  ibrav = 0, nat = 6, ntyp = 3
/
ATOMIC_SPECIES
Os 190.23 Os.upf
C 12.01 C.upf
Nb 92.91 Nb.upf
ATOMIC_POSITIONS angstrom
Os -3.772 -10.685 1.767
Os -1.735 -11.596 0.492
C -1.914 -13.618 0.503
C -3.990 -21.501 1.380
Nb -1.791 -8.774 0.662
Nb -3.715 -13.507 1.598
CELL_PARAMETERS angstrom
-0.992 -6.356 -1.500
0.595 -6.482 1.124
-3.983 -9.647 1.945
```

VASP calculation (PBE) on an optimized crystal structure of ZnNiGePt. Values from VASP.

Summary:
* DFT formation energy: -0.269 eV per atom
* E_tot: -18.79 eV/f.u.
* crystal system: cubic
* space-group type: F-43m, No. 216

```
&SYSTEM
  ibrav = 0, nat = 4, ntyp = 4
/
ATOMIC_SPECIES
Ni 58.69 Ni.upf
Ge 72.64 Ge.upf
Zn 65.41 Zn.upf
Pt 195.08 Pt.upf
ATOMIC_POSITIONS angstrom
Ni -4.694 -1.493 1.858
Ge -2.347 -0.746 0.929
Zn -7.041 -2.239 2.787
Pt 0.000 0.000 0.000
CELL_PARAMETERS angstrom
-4.236 0.032 -0.731
-2.406 -3.368 1.159
-2.746 0.351 3.288
```

VASP calculation (PBE) on an optimized crystal structure of FeTcCl2. Values from VASP.

Summary:
* energy relative to the lowest polymorph listed for this composition: 3.15 eV/f.u.
* E_tot: -19.70 eV/f.u.
* crystal system: tetragonal
* space-group type: I-4m2, No. 119

```
&SYSTEM
  ibrav = 0, nat = 4, ntyp = 3
/
ATOMIC_SPECIES
Cl 35.45 Cl.upf
Tc 98.00 Tc.upf
Fe 55.84 Fe.upf
ATOMIC_POSITIONS angstrom
Cl 0.000 0.000 0.000
Cl 1.917 2.329 1.248
Tc 3.016 0.087 1.248
Fe 4.933 2.416 0.000
CELL_PARAMETERS angstrom
6.031 0.175 0.000
3.835 4.658 0.000
-4.933 -2.416 2.496
```

VASP calculation (PBE) on an optimized crystal structure of NiAuS2. Values from VASP.

Summary:
* E_tot: -17.15 eV/f.u.
* crystal system: orthorhombic
* space-group type: Cmcm, No. 63

```
&SYSTEM
  ibrav = 0, nat = 8, ntyp = 3
/
ATOMIC_SPECIES
Ni 58.69 Ni.upf
S 32.06 S.upf
Au 196.97 Au.upf
ATOMIC_POSITIONS angstrom
Ni -3.787 -0.836 -2.575
Ni -0.311 1.324 5.167
S -4.988 -1.667 -4.316
S 0.889 2.155 6.909
S 3.132 3.957 7.463
S -7.231 -3.469 -4.871
Au -7.021 -3.075 -7.266
Au 2.922 3.563 9.858
CELL_PARAMETERS angstrom
5.004 5.377 8.828
-7.013 -2.945 -8.604
-2.089 -1.944 2.368
```

VASP calculation (PBE) on an optimized crystal structure of Pu4Sb2Se. Values from VASP.

Summary:
* E_tot: -74.81 eV/f.u.
* crystal system: tetragonal
* space-group type: I-42d, No. 122

```
&SYSTEM
  ibrav = 0, nat = 14, ntyp = 3
/
ATOMIC_SPECIES
Pu 244.00 Pu.upf
Sb 121.76 Sb.upf
Se 78.96 Se.upf
ATOMIC_POSITIONS angstrom
Pu -4.778 -3.218 -2.543
Pu -5.169 0.453 0.178
Pu -5.354 2.473 2.806
Pu -2.507 -2.424 4.820
Pu -4.789 2.608 -3.127
Pu -3.538 1.325 5.586
Pu -1.592 2.354 1.564
Pu -2.428 -1.742 0.286
Sb -2.734 4.025 3.956
Sb -3.252 -0.011 2.766
Sb -5.511 -2.771 0.472
Sb -3.582 -0.329 -2.409
Se 0.000 0.000 0.000
Se -3.982 3.201 -0.042
CELL_PARAMETERS angstrom
-1.836 7.540 1.594
-4.717 -2.732 -5.749
-0.986 -4.351 6.547
```

VASP calculation (PBE) on an optimized crystal structure of Ca4TlHg3. Values from VASP.

Summary:
* DFT formation energy: -0.525 eV per atom
* energy relative to the lowest polymorph listed for this composition: 0.00 eV/f.u.
* E_tot: -15.48 eV/f.u.
* crystal system: monoclinic
* space-group type: C2/m, No. 12

```
&SYSTEM
  ibrav = 0, nat = 8, ntyp = 3
/
ATOMIC_SPECIES
Ca 40.08 Ca.upf
Tl 204.38 Tl.upf
Hg 200.59 Hg.upf
ATOMIC_POSITIONS angstrom
Ca 1.421 1.516 5.263
Ca 2.911 3.125 0.385
Ca 0.481 0.512 1.782
Ca 3.850 4.128 3.866
Tl 2.616 0.000 -0.706
Hg -0.187 2.614 -0.691
Hg 3.565 1.010 2.808
Hg 0.767 3.630 2.841
CELL_PARAMETERS angstrom
5.232 0.000 -1.412
-0.373 5.227 -1.382
-0.528 -0.587 8.443
```

VASP calculation (PBE) on an optimized crystal structure of SiBr2. Values from VASP.

Summary:
* E_tot: -10.69 eV/f.u.
* crystal system: monoclinic
* space-group type: C2/c, No. 15

```
&SYSTEM
  ibrav = 0, nat = 36, ntyp = 2
/
ATOMIC_SPECIES
Br 79.90 Br.upf
Si 28.09 Si.upf
ATOMIC_POSITIONS angstrom
Br -7.847 9.835 6.356
Br -3.479 7.447 4.622
Br -0.886 10.303 11.871
Br -5.254 12.691 13.606
Br -11.263 8.309 8.210
Br -0.559 5.252 6.643
Br 2.530 11.829 10.018
Br -8.174 14.887 11.585
Br -6.612 16.508 15.308
Br 0.709 8.260 8.322
Br -2.121 3.631 2.919
Br -9.441 11.878 9.905
Br -3.897 16.882 11.975
Br -1.473 11.889 7.488
Br -4.836 3.256 6.253
Br -7.260 8.249 10.739
Br -6.627 9.034 2.408
Br -4.258 11.553 5.130
Br -2.105 11.104 15.820
Br -4.474 8.586 13.097
Br -8.194 6.267 5.626
Br -3.494 8.299 8.179
Br -0.539 13.871 12.601
Br -5.238 11.839 10.048
Si -9.009 8.302 5.220
Si -2.381 8.500 6.258
Si 0.276 11.836 13.008
Si -6.352 11.638 11.970
Si -11.260 8.407 5.980
Si -0.255 7.456 6.475
Si 2.527 11.731 12.247
Si -8.478 12.682 11.752
Si -8.786 8.776 2.898
Si -2.233 10.806 5.687
Si 0.053 11.363 15.330
Si -6.499 9.333 12.541
CELL_PARAMETERS angstrom
-6.741 8.851 0.160
-7.729 1.440 7.874
5.737 9.847 10.194
```

VASP calculation (PBE) on an optimized crystal structure of GeHPt2O. Values from VASP.

Summary:
* E_tot: -23.58 eV/f.u.
* crystal system: tetragonal
* space-group type: P4/mmm, No. 123

```
&SYSTEM
  ibrav = 0, nat = 5, ntyp = 4
/
ATOMIC_SPECIES
H 1.01 H.upf
Ge 72.64 Ge.upf
O 16.00 O.upf
Pt 195.08 Pt.upf
ATOMIC_POSITIONS angstrom
H 0.000 0.000 0.000
Ge -3.230 0.167 1.000
O -0.784 -1.241 1.147
Pt -0.839 1.488 1.037
Pt -1.608 -0.080 -1.185
CELL_PARAMETERS angstrom
-3.215 -0.161 -2.370
-1.567 -2.483 2.295
-1.678 2.977 2.074
```

VASP calculation (PBE) on an optimized crystal structure of SmDy3N. Values from VASP.

Summary:
* E_tot: -29.36 eV/f.u.
* crystal system: cubic
* space-group type: Pm-3m, No. 221

```
&SYSTEM
  ibrav = 0, nat = 5, ntyp = 3
/
ATOMIC_SPECIES
N 14.01 N.upf
Sm 150.36 Sm.upf
Dy 162.50 Dy.upf
ATOMIC_POSITIONS angstrom
N 0.000 0.000 0.000
Sm 2.488 2.488 2.488
Dy 0.000 2.488 0.000
Dy 0.000 0.000 2.488
Dy 2.488 0.000 0.000
CELL_PARAMETERS angstrom
4.976 0.000 0.000
0.000 4.976 0.000
0.000 0.000 4.976
```

VASP calculation (PBE) on an optimized crystal structure of Tc2RhN. Values from VASP.

Summary:
* E_tot: -36.03 eV/f.u.
* crystal system: trigonal
* space-group type: R3m, No. 160

```
&SYSTEM
  ibrav = 0, nat = 4, ntyp = 3
/
ATOMIC_SPECIES
Tc 98.00 Tc.upf
Rh 102.91 Rh.upf
N 14.01 N.upf
ATOMIC_POSITIONS angstrom
Tc 3.473 3.619 3.406
Tc 0.742 0.455 1.960
Rh 1.953 1.454 4.170
N -0.252 -1.101 3.003
CELL_PARAMETERS angstrom
-1.293 -0.007 2.459
0.879 -1.685 2.026
4.357 4.643 3.874
```

VASP calculation (PBE) on an optimized crystal structure of Pr6InBr8. Values from VASP.

Summary:
* E_tot: -65.38 eV/f.u.
* crystal system: trigonal
* space-group type: R-3, No. 148

```
&SYSTEM
  ibrav = 0, nat = 15, ntyp = 3
/
ATOMIC_SPECIES
Pr 140.91 Pr.upf
In 114.82 In.upf
Br 79.90 Br.upf
ATOMIC_POSITIONS angstrom
Pr -4.606 -9.574 1.304
Pr 1.965 -11.498 5.288
Pr 2.024 -13.873 1.867
Pr -2.349 -6.076 1.449
Pr -2.291 -8.451 -1.972
Pr 4.280 -10.375 2.012
In 0.000 0.000 0.000
Br -0.257 -12.517 3.453
Br -2.430 -8.548 3.245
Br -2.398 -11.013 -0.244
Br -2.254 -3.543 -0.211
Br 1.928 -16.406 3.527
Br 2.072 -8.936 3.560
Br 2.104 -11.401 0.071
Br -0.069 -7.433 -0.137
CELL_PARAMETERS angstrom
-4.612 -4.732 3.060
-2.151 -5.895 -3.694
6.437 -9.321 3.950
```